1.
Below is crystalline Zn2NiPd2 at its relaxed geometry, with properties calculated at the GGA-PBE level.

Values from the calculation:
Space group = Cmmm, No. 65
E_form = -271.1 meV per atom

Cell lengths 2.8554, 17.3359, 2.8672 Å; angles 90.00, 90.00, 90.00 degrees
Fractional positions:
Zn1 0.0000 0.0871 0.0000
Zn2 0.0000 0.9129 0.0000
Zn3 0.5000 0.4129 0.0000
Zn4 0.5000 0.5871 0.0000
Ni1 0.0000 0.5000 0.5000
Ni2 0.5000 0.0000 0.5000
Pd1 0.0000 0.3183 0.5000
Pd2 0.0000 0.6817 0.5000
Pd3 0.5000 0.1817 0.5000
Pd4 0.5000 0.8183 0.5000



2.
Below is crystalline ZnNiPd2 at its relaxed geometry, with properties calculated at the GGA-PBE level.

Values from the calculation:
Space group = P4/mmm, No. 123
E_form = -244.5 meV per atom

Cell lengths 3.0474, 3.0474, 5.9866 Å; angles 90.00, 90.00, 90.00 degrees
Fractional positions:
Zn1 0.0000 0.0000 0.0000
Ni1 0.0000 0.0000 0.5000
Pd1 0.5000 0.5000 0.2543
Pd2 0.5000 0.5000 0.7457



3.
Below is crystalline ZnNiPd2 at its relaxed geometry, with properties calculated at the GGA-PBE level.

Values from the calculation:
Space group = Immm, No. 71
E_form = 186.3 meV per atom

Cell lengths 2.6495, 4.5752, 10.1367 Å; angles 90.00, 90.00, 90.00 degrees
Fractional positions:
Zn1 0.0000 0.0000 0.0000
Zn2 0.5000 0.5000 0.5000
Ni1 0.0000 0.0000 0.5000
Ni2 0.5000 0.5000 0.0000
Pd1 0.0000 0.0000 0.2527
Pd2 0.0000 0.0000 0.7473
Pd3 0.5000 0.5000 0.2473
Pd4 0.5000 0.5000 0.7527



4.
Below is crystalline Zn8NiPd2 at its relaxed geometry, with properties calculated at the GGA-PBE level.

Values from the calculation:
Space group = P4/mmm, No. 123
E_form = -248.9 meV per atom

Cell lengths 3.9950, 3.9950, 10.1507 Å; angles 90.00, 90.00, 90.00 degrees
Fractional positions:
Zn1 0.0000 0.0000 0.1791
Zn2 0.0000 0.0000 0.8209
Zn3 0.0000 0.5000 0.0000
Zn4 0.0000 0.5000 0.3636
Zn5 0.0000 0.5000 0.6364
Zn6 0.5000 0.0000 0.0000
Zn7 0.5000 0.0000 0.3636
Zn8 0.5000 0.0000 0.6364
Ni1 0.5000 0.5000 0.5000
Pd1 0.5000 0.5000 0.1840
Pd2 0.5000 0.5000 0.8160



5.
Below is crystalline ZnNiPd at its relaxed geometry, with properties calculated at the GGA-PBE level.

Values from the calculation:
Space group = I4/mmm, No. 139
E_form = -153.6 meV per atom

Cell lengths 2.7934, 2.7934, 21.3352 Å; angles 90.00, 90.00, 90.00 degrees
Fractional positions:
Zn1 0.0000 0.0000 0.1427
Zn2 0.0000 0.0000 0.8573
Zn3 0.5000 0.5000 0.3573
Zn4 0.5000 0.5000 0.6427
Ni1 0.0000 0.0000 0.2847
Ni2 0.0000 0.0000 0.7153
Ni3 0.5000 0.5000 0.2153
Ni4 0.5000 0.5000 0.7847
Pd1 0.0000 0.0000 0.4379
Pd2 0.0000 0.0000 0.5621
Pd3 0.5000 0.5000 0.0621
Pd4 0.5000 0.5000 0.9379



6.
Below is crystalline ZnNiPd4 at its relaxed geometry, with properties calculated at the GGA-PBE level.

Values from the calculation:
Space group = Pmmn, No. 59
E_form = -117.5 meV per atom

Cell lengths 4.2473, 5.3257, 7.7868 Å; angles 90.00, 90.00, 90.00 degrees
Fractional positions:
Zn1 0.2500 0.2500 0.0980
Zn2 0.7500 0.7500 0.9020
Ni1 0.2500 0.2500 0.4120
Ni2 0.7500 0.7500 0.5880
Pd1 0.2500 0.5013 0.7442
Pd2 0.2500 0.7500 0.0756
Pd3 0.2500 0.7500 0.4217
Pd4 0.2500 0.9987 0.7442
Pd5 0.7500 0.0013 0.2558
Pd6 0.7500 0.2500 0.5783
Pd7 0.7500 0.2500 0.9244
Pd8 0.7500 0.4987 0.2558



7.
Below is crystalline ZnNiPd at its relaxed geometry, with properties calculated at the GGA-PBE level.

Values from the calculation:
Space group = C2/m, No. 12
E_form = -221.6 meV per atom

Cell lengths 8.6598, 3.5622, 5.5209 Å; angles 90.00, 109.27, 90.00 degrees
Fractional positions:
Zn1 0.0008 0.0000 0.2394
Zn2 0.4992 0.5000 0.7606
Zn3 0.5008 0.5000 0.2394
Zn4 0.9992 0.0000 0.7606
Ni1 0.1596 0.5000 0.0730
Ni2 0.3404 0.0000 0.9270
Ni3 0.6596 0.0000 0.0730
Ni4 0.8404 0.5000 0.9270
Pd1 0.1669 0.5000 0.5990
Pd2 0.3331 0.0000 0.4010
Pd3 0.6669 0.0000 0.5990
Pd4 0.8331 0.5000 0.4010



8.
Below is crystalline ZnNiPd14 at its relaxed geometry, with properties calculated at the GGA-PBE level.

Values from the calculation:
Space group = Amm2, No. 38
E_form = -55.3 meV per atom

Cell lengths 9.0937, 5.5319, 5.5319 Å; angles 60.56, 90.00, 90.00 degrees
Fractional positions:
Zn1 0.0000 0.0000 0.0000
Ni1 0.0000 0.4994 0.4994
Pd1 0.0000 0.0033 0.5029
Pd2 0.0000 0.5029 0.0033
Pd3 0.2406 0.3286 0.8273
Pd4 0.2406 0.8273 0.3286
Pd5 0.2472 0.3308 0.3308
Pd6 0.2484 0.8303 0.8303
Pd7 0.5000 0.1601 0.1601
Pd8 0.5000 0.1611 0.6610
Pd9 0.5000 0.6600 0.6600
Pd10 0.5000 0.6610 0.1611
Pd11 0.7516 0.8303 0.8303
Pd12 0.7528 0.3308 0.3308
Pd13 0.7594 0.3286 0.8273
Pd14 0.7594 0.8273 0.3286



9.
Below is crystalline ZnNiPd at its relaxed geometry, with properties calculated at the GGA-PBE level.

Values from the calculation:
Space group = I4mm, No. 107
E_form = 301.8 meV per atom

Cell lengths 2.6305, 2.6305, 13.5402 Å; angles 90.00, 90.00, 90.00 degrees
Fractional positions:
Zn1 0.0000 0.0000 0.0000
Zn2 0.5000 0.5000 0.5000
Ni1 0.0000 0.0000 0.1751
Ni2 0.5000 0.5000 0.6751
Pd1 0.0000 0.0000 0.3600
Pd2 0.5000 0.5000 0.8600



10.
Below is crystalline ZnNiPd2 at its relaxed geometry, with properties calculated at the GGA-PBE level.

Values from the calculation:
Space group = R3m, No. 160
E_form = -140.6 meV per atom

Cell lengths 2.7914, 2.7914, 25.1427 Å; angles 90.00, 90.00, 120.00 degrees
Fractional positions:
Zn1 0.0000 0.0000 0.0000
Zn2 0.3333 0.6667 0.6667
Zn3 0.6667 0.3333 0.3333
Ni1 0.0000 0.0000 0.8332
Ni2 0.3333 0.6667 0.4998
Ni3 0.6667 0.3333 0.1665
Pd1 0.0000 0.0000 0.4165
Pd2 0.0000 0.0000 0.5835
Pd3 0.3333 0.6667 0.0832
Pd4 0.3333 0.6667 0.2502
Pd5 0.6667 0.3333 0.7498
Pd6 0.6667 0.3333 0.9168



11.
Below is crystalline Zn6Ni5Pd at its relaxed geometry, with properties calculated at the GGA-PBE level.

Values from the calculation:
Space group = Cmmm, No. 65
E_form = -285.5 meV per atom

Cell lengths 6.1456, 6.1456, 6.6567 Å; angles 90.00, 90.00, 143.21 degrees
Fractional positions:
Zn1 0.0000 0.0000 0.2406
Zn2 0.0000 0.0000 0.7594
Zn3 0.3306 0.6694 0.2447
Zn4 0.3306 0.6694 0.7553
Zn5 0.6694 0.3306 0.2447
Zn6 0.6694 0.3306 0.7553
Ni1 0.1664 0.8336 0.0000
Ni2 0.1705 0.8295 0.5000
Ni3 0.5000 0.5000 0.0000
Ni4 0.8295 0.1705 0.5000
Ni5 0.8336 0.1664 0.0000
Pd1 0.5000 0.5000 0.5000



12.
Below is crystalline Zn3Ni2Pd at its relaxed geometry, with properties calculated at the GGA-PBE level.

Values from the calculation:
Space group = P4/mmm, No. 123
E_form = -336.6 meV per atom

Cell lengths 2.8004, 2.8004, 9.8945 Å; angles 90.00, 90.00, 90.00 degrees
Fractional positions:
Zn1 0.0000 0.0000 0.0000
Zn2 0.0000 0.0000 0.3184
Zn3 0.0000 0.0000 0.6816
Ni1 0.5000 0.5000 0.1581
Ni2 0.5000 0.5000 0.8419
Pd1 0.5000 0.5000 0.5000



13.
Below is crystalline Zn2NiPd at its relaxed geometry, with properties calculated at the GGA-PBE level.

Values from the calculation:
Space group = P4/mmm, No. 123
E_form = -380.5 meV per atom

Cell lengths 2.9577, 2.9577, 6.0907 Å; angles 90.00, 90.00, 90.00 degrees
Fractional positions:
Zn1 0.0000 0.0000 0.2311
Zn2 0.0000 0.0000 0.7689
Ni1 0.5000 0.5000 0.0000
Pd1 0.5000 0.5000 0.5000



14.
Below is crystalline ZnNi2Pd2 at its relaxed geometry, with properties calculated at the GGA-PBE level.

Values from the calculation:
Space group = P4/mbm, No. 127
E_form = 91.0 meV per atom

Cell lengths 7.2037, 7.2037, 2.7812 Å; angles 90.00, 90.00, 90.00 degrees
Fractional positions:
Zn1 0.0000 0.0000 0.0000
Zn2 0.5000 0.5000 0.0000
Ni1 0.1220 0.3780 0.5000
Ni2 0.3780 0.8780 0.5000
Ni3 0.6220 0.1220 0.5000
Ni4 0.8780 0.6220 0.5000
Pd1 0.1736 0.6736 0.0000
Pd2 0.3264 0.1736 0.0000
Pd3 0.6736 0.8264 0.0000
Pd4 0.8264 0.3264 0.0000



15.
Below is crystalline Zn4NiPd3 at its relaxed geometry, with properties calculated at the GGA-PBE level.

Values from the calculation:
Space group = C2/m, No. 12
E_form = -451.3 meV per atom

Cell lengths 12.3752, 4.3978, 4.3979 Å; angles 90.00, 110.70, 90.00 degrees
Fractional positions:
Zn1 0.1208 0.0000 0.1210
Zn2 0.1208 0.5000 0.6208
Zn3 0.3792 0.0000 0.3792
Zn4 0.3792 0.5000 0.8790
Zn5 0.6208 0.0000 0.6208
Zn6 0.6208 0.5000 0.1210
Zn7 0.8792 0.0000 0.8790
Zn8 0.8792 0.5000 0.3792
Ni1 0.0000 0.0000 0.5000
Ni2 0.5000 0.5000 0.5000
Pd1 0.0000 0.5000 0.0000
Pd2 0.2462 0.0000 0.7462
Pd3 0.2538 0.5000 0.2538
Pd4 0.5000 0.0000 0.0000
Pd5 0.7462 0.5000 0.7462
Pd6 0.7538 0.0000 0.2538



16.
Below is crystalline Zn2NiPd2 at its relaxed geometry, with properties calculated at the GGA-PBE level.

Values from the calculation:
Space group = P4/mbm, No. 127
E_form = -159.7 meV per atom

Cell lengths 7.1347, 7.1347, 2.9250 Å; angles 90.00, 90.00, 90.00 degrees
Fractional positions:
Zn1 0.1611 0.3389 0.0000
Zn2 0.3389 0.8389 0.0000
Zn3 0.6611 0.1611 0.0000
Zn4 0.8389 0.6611 0.0000
Ni1 0.0000 0.0000 0.5000
Ni2 0.5000 0.5000 0.5000
Pd1 0.1391 0.6391 0.5000
Pd2 0.3609 0.1391 0.5000
Pd3 0.6391 0.8609 0.5000
Pd4 0.8609 0.3609 0.5000



17.
Below is crystalline Zn4NiPd2 at its relaxed geometry, with properties calculated at the GGA-PBE level.

Values from the calculation:
Space group = I4/mmm, No. 139
E_form = -346.8 meV per atom

Cell lengths 4.1620, 4.1620, 12.0634 Å; angles 90.00, 90.00, 90.00 degrees
Fractional positions:
Zn1 0.0000 0.5000 0.1105
Zn2 0.0000 0.5000 0.3895
Zn3 0.0000 0.5000 0.6105
Zn4 0.0000 0.5000 0.8895
Zn5 0.5000 0.0000 0.1105
Zn6 0.5000 0.0000 0.3895
Zn7 0.5000 0.0000 0.6105
Zn8 0.5000 0.0000 0.8895
Ni1 0.0000 0.0000 0.0000
Ni2 0.5000 0.5000 0.5000
Pd1 0.0000 0.0000 0.2424
Pd2 0.0000 0.0000 0.7576
Pd3 0.5000 0.5000 0.2576
Pd4 0.5000 0.5000 0.7424



18.
Below is crystalline Zn5NiPd at its relaxed geometry, with properties calculated at the GGA-PBE level.

Values from the calculation:
Space group = P4/mmm, No. 123
E_form = -198.7 meV per atom

Cell lengths 4.0771, 4.0771, 6.2545 Å; angles 90.00, 90.00, 90.00 degrees
Fractional positions:
Zn1 0.0000 0.0000 0.0000
Zn2 0.0000 0.5000 0.2842
Zn3 0.0000 0.5000 0.7158
Zn4 0.5000 0.0000 0.2842
Zn5 0.5000 0.0000 0.7158
Ni1 0.0000 0.0000 0.5000
Pd1 0.5000 0.5000 0.0000



19.
Below is crystalline Zn8Ni2Pd at its relaxed geometry, with properties calculated at the GGA-PBE level.

Values from the calculation:
Space group = Cmmm, No. 65
E_form = -191.6 meV per atom

Cell lengths 6.3112, 6.3112, 4.0976 Å; angles 90.00, 90.00, 104.60 degrees
Fractional positions:
Zn1 0.1628 0.1628 0.0000
Zn2 0.1923 0.4628 0.5000
Zn3 0.2443 0.7557 0.0000
Zn4 0.4628 0.1923 0.5000
Zn5 0.5372 0.8077 0.5000
Zn6 0.7557 0.2443 0.0000
Zn7 0.8077 0.5372 0.5000
Zn8 0.8372 0.8372 0.0000
Ni1 0.1222 0.8778 0.5000
Ni2 0.8778 0.1222 0.5000
Pd1 0.5000 0.5000 0.0000



20.
Below is crystalline ZrZnNiPd at its relaxed geometry, with properties calculated at the GGA-PBE level.

Values from the calculation:
Space group = F-43m, No. 216
E_form = -480.2 meV per atom

Cell lengths 6.3052, 6.3052, 6.3052 Å; angles 90.00, 90.00, 90.00 degrees
Fractional positions:
Zr1 0.0000 0.0000 0.0000
Zr2 0.0000 0.5000 0.5000
Zr3 0.5000 0.0000 0.5000
Zr4 0.5000 0.5000 0.0000
Zn1 0.0000 0.0000 0.5000
Zn2 0.0000 0.5000 0.0000
Zn3 0.5000 0.0000 0.0000
Zn4 0.5000 0.5000 0.5000
Ni1 0.2500 0.2500 0.7500
Ni2 0.2500 0.7500 0.2500
Ni3 0.7500 0.2500 0.2500
Ni4 0.7500 0.7500 0.7500
Pd1 0.2500 0.2500 0.2500
Pd2 0.2500 0.7500 0.7500
Pd3 0.7500 0.2500 0.7500
Pd4 0.7500 0.7500 0.2500



21.
Below is crystalline ZrNiPd4 at its relaxed geometry, with properties calculated at the GGA-PBE level.

Values from the calculation:
Space group = C2/m, No. 12
E_form = -358.6 meV per atom

Cell lengths 5.1556, 7.5050, 5.5074 Å; angles 90.00, 115.27, 90.00 degrees
Fractional positions:
Zr1 0.0000 0.0000 0.0000
Zr2 0.5000 0.5000 0.0000
Ni1 0.0000 0.0000 0.5000
Ni2 0.5000 0.5000 0.5000
Pd1 0.0233 0.3159 0.2625
Pd2 0.0233 0.6841 0.2625
Pd3 0.4767 0.1841 0.7375
Pd4 0.4767 0.8159 0.7375
Pd5 0.5233 0.1841 0.2625
Pd6 0.5233 0.8159 0.2625
Pd7 0.9767 0.3159 0.7375
Pd8 0.9767 0.6841 0.7375



22.
Below is crystalline ZrNi2Pd at its relaxed geometry, with properties calculated at the GGA-PBE level.

Values from the calculation:
Space group = I-42d, No. 122
E_form = -35.9 meV per atom

Cell lengths 3.8085, 3.8085, 17.6702 Å; angles 90.00, 90.00, 90.00 degrees
Fractional positions:
Zr1 0.0000 0.0000 0.0000
Zr2 0.0000 0.5000 0.2500
Zr3 0.5000 0.0000 0.7500
Zr4 0.5000 0.5000 0.5000
Ni1 0.2196 0.2500 0.6250
Ni2 0.2500 0.7196 0.8750
Ni3 0.2500 0.7804 0.3750
Ni4 0.2804 0.2500 0.1250
Ni5 0.7196 0.7500 0.1250
Ni6 0.7500 0.2196 0.3750
Ni7 0.7500 0.2804 0.8750
Ni8 0.7804 0.7500 0.6250
Pd1 0.0000 0.0000 0.5000
Pd2 0.0000 0.5000 0.7500
Pd3 0.5000 0.0000 0.2500
Pd4 0.5000 0.5000 0.0000



23.
Below is crystalline ZrNiPd at its relaxed geometry, with properties calculated at the GGA-PBE level.

Values from the calculation:
Space group = P3m1, No. 156
E_form = -372.6 meV per atom

Cell lengths 4.3984, 4.3984, 2.8820 Å; angles 90.00, 90.00, 120.00 degrees
Fractional positions:
Zr1 0.0000 0.0000 0.0000
Ni1 0.6667 0.3333 0.6771
Pd1 0.3333 0.6667 0.3947



24.
Below is crystalline Zr4NiPd at its relaxed geometry, with properties calculated at the GGA-PBE level.

Values from the calculation:
Space group = P4/mcc, No. 124
E_form = -392.5 meV per atom

Cell lengths 6.6116, 6.6116, 5.3686 Å; angles 90.00, 90.00, 90.00 degrees
Fractional positions:
Zr1 0.1531 0.3310 0.0000
Zr2 0.1531 0.6690 0.5000
Zr3 0.3310 0.1531 0.5000
Zr4 0.3310 0.8469 0.0000
Zr5 0.6690 0.1531 0.0000
Zr6 0.6690 0.8469 0.5000
Zr7 0.8469 0.3310 0.5000
Zr8 0.8469 0.6690 0.0000
Ni1 0.0000 0.0000 0.2500
Ni2 0.0000 0.0000 0.7500
Pd1 0.5000 0.5000 0.2500
Pd2 0.5000 0.5000 0.7500



25.
Below is crystalline Zr4Ni3Pd at its relaxed geometry, with properties calculated at the GGA-PBE level.

Values from the calculation:
Space group = Pmm2, No. 25
E_form = -484.7 meV per atom

Cell lengths 3.3461, 4.1708, 10.0754 Å; angles 90.00, 90.00, 90.00 degrees
Fractional positions:
Zr1 0.0000 0.0000 0.0000
Zr2 0.0000 0.5000 0.2699
Zr3 0.5000 0.0000 0.4825
Zr4 0.5000 0.5000 0.7764
Ni1 0.0000 0.5000 0.5400
Ni2 0.5000 0.0000 0.2129
Ni3 0.5000 0.5000 0.0504
Pd1 0.0000 0.0000 0.7139